This record from the Alexandria database describes an optimized crystal structure of Na2Co4F9. The functional is GGA+U.

Cell: 5.5001 5.5001 14.3668 Å, 90.00 90.00 120.00°
Space group P-3c1 (No. 165)
Symmetry-distinct sites (fractional):
Na 0.0000 0.0000 0.1468
Co 0.3333 0.6667 0.1838
Co 0.3333 0.6667 0.4835
F 0.0000 0.3321 0.2500
F 0.0278 0.3802 0.5807

Values from the calculation:
Uncorrected energy, eV per atom: -4.78
D(E_F), states/eV/cell: 12.79
Total magnetic moment, μB/f.u.: 11.000